# Ta2CrBr

A relaxed structure of Ta2CrBr (PBE-GGA, Alexandria via LeMat-Bulk).

Output
energy	-7.856	eV/atom
raw formation energy	0.894	eV/atom
polymorph energy (0 for the lowest one)	228	kJ/mol of formula units

Cell lengths 6.4463, 6.4463, 6.4463 Å; angles 90.00, 90.00, 90.00 degrees
With the nearest neighbours (Å) after each atom.
Space group Fm-3m (No. 225)
Symmetry-distinct sites (fractional):
Ta1 0.2500 0.2500 0.2500 (multiplicity 8)  4 Br 2.79, 4 Cr 2.79
Cr1 0.0000 0.0000 0.0000 (multiplicity 4)  8 Ta 2.79
Br1 0.0000 0.0000 0.5000 (multiplicity 4)  8 Ta 2.79